Here is a relaxed BaZnSe2 crystal from Alexandria. Energies are from GGA-PBE.

Results
Total energy, eV/atom: -3.2910
Uncorrected formation energy, kJ/mol of formula units: -289
Volume, Å³/f.u.: 106.9

Cell lengths 5.2175, 5.2175, 3.9282 Å; angles 90.00, 90.00, 90.57 degrees
Positions (direct):
1 Ba 0.0000 0.5000 0.5000
2 Se 0.0000 0.0000 0.0000
3 Se 0.5000 0.5000 0.0000
4 Zn 0.5000 0.0000 0.5000